KTlMo2: optimized geometry, PBE-GGA.

Cell: 3.339 5.205 10.605 Å, 90.00 90.00 90.00°
Space group Cmm2 (No. 35)
Asymmetric unit:
K  0.000  0.000  0.000 (multiplicity 2)
Tl  0.000  0.500  0.294 (multiplicity 2)
Mo  0.000  0.000  0.539 (multiplicity 2)
Mo  0.000  0.500  0.709 (multiplicity 2)

Excess energy over the best structure of this formula in the dataset ... 7.4 kJ/mol of atoms
E ... -22.47 eV per formula unit
Magnetization ... 0.0 μB/f.u.
ΔE_f ... 664 meV per atom


MgCd2Ni: optimized geometry, PBE-GGA.

Cell: 3.984 7.885 5.244 Å, 90.00 112.01 90.00°
Space group P2_1/m (No. 11)
Asymmetric unit:
Mg  0.060  0.250  0.118 (multiplicity 2)
Cd  0.357  0.059  0.716 (multiplicity 4)
Ni  0.243  0.750  0.488 (multiplicity 2)

E ... -9.38 eV per formula unit
Magnetization ... 0.0 μB/f.u.
ΔE_f ... -44 meV per atom


AlOsF2: optimized geometry, PBE-GGA.

Cell: 2.6992 2.6992 23.6068 Å, 90.00 90.00 120.00°
Space group R-3m (No. 166, hexagonal axes)
Asymmetric unit:
Al  0.0000  0.0000  0.0000 (multiplicity 3)
Os  0.0000  0.0000  0.5000 (multiplicity 3)
F  0.0000  0.0000  0.4140 (multiplicity 6)

Excess energy over the best structure of this formula in the dataset ... 0.0 kJ/mol of atoms
ΔE_f (raw) ... -0.953 eV per atom
E ... -22.52 eV per formula unit
Magnetization ... 0.0 μB/f.u.


VCo2ReBr: optimized geometry, PBE-GGA.

Cell: 4.239 4.239 4.557 Å, 90.00 90.00 90.00°
Space group P4/mmm (No. 123)
Asymmetric unit:
V  0.000  0.000  0.000 (multiplicity 1)
Co  0.000  0.500  0.000 (multiplicity 2)
Re  0.500  0.500  0.500 (multiplicity 1)
Br  0.000  0.000  0.500 (multiplicity 1)

ΔE_f (raw) ... 1.700 eV per atom
E ... -28.95 eV per formula unit
Magnetization ... 3.1 μB/f.u.